# 1
Compound: Co2TcSb
Source: the Alexandria database
Functional: PBEsol
Structure: relaxed

extended XYZ file:
```
4
Lattice="-0.3573 -2.3419 -1.4589 -0.4461 -2.1385 3.5420 -4.5296 0.7615 -0.1108" Properties=species:S:1:pos:R:3 pbc="T T T"
Sb -2.1199 -0.5444 -0.5957
Co -4.6862 -1.3134 -1.3832
Co -1.8012 -2.9060 0.4633
Tc -4.0561 -1.3258 1.1334
```

Computed properties:
Raw formation energy ... 0.20 eV/atom
DFT total energy ... -7.628 eV/atom

=====

# 2
Compound: CoTc2Sb
Source: the Alexandria database
Functional: PBEsol
Structure: relaxed

extended XYZ file:
```
4
Lattice="-2.2692 -2.0534 2.3439 -2.3170 -0.8271 -2.9677 4.3696 -1.7046 -0.4328" Properties=species:S:1:pos:R:3 pbc="T T T"
Co -2.2931 -1.4402 -0.3119
Sb 0.0000 0.0000 0.0000
Tc -0.0964 -2.5991 0.7996
Tc -0.1203 -1.9859 -1.8562
```

Computed properties:
Raw formation energy ... 0.23 eV/atom
DFT total energy ... -8.478 eV/atom

=====

# 3
Compound: Co2TcSb
Source: the Alexandria database
Functional: PBEsol
Structure: relaxed

extended XYZ file:
```
4
Lattice="2.8255 0.0000 0.0000 0.0000 4.4528 0.0024 0.0000 -1.2993 4.2591" Properties=species:S:1:pos:R:3 pbc="T T T"
Sb 1.4128 0.0000 0.0000
Co 0.0000 2.2264 0.0012
Co 0.0000 -0.6496 2.1295
Tc 1.4128 1.5768 2.1307
```

Computed properties:
Raw formation energy ... 0.27 eV/atom
DFT total energy ... -7.557 eV/atom

=====

# 4
Compound: CoTc2Sb
Source: the Alexandria database
Functional: PBEsol
Structure: relaxed

extended XYZ file:
```
4
Lattice="2.9508 0.0000 0.0000 0.0000 4.5759 -0.0140 -1.4754 -0.8343 4.3372" Properties=species:S:1:pos:R:3 pbc="T T T"
Co 1.4754 0.0000 0.0000
Sb 0.0000 2.2879 -0.0070
Tc 0.0000 0.5832 2.0481
Tc 1.4754 3.1583 2.2751
```

Computed properties:
Raw formation energy ... 0.23 eV/atom
DFT total energy ... -8.473 eV/atom

=====

# 5
Compound: CoTcSbTe2
Source: the Alexandria database
Functional: PBEsol
Structure: relaxed

extended XYZ file:
```
5
Lattice="-1.9255 1.9173 4.2426 -3.4432 -3.7852 0.1479 3.2437 -2.8429 2.7569" Properties=species:S:1:pos:R:3 pbc="T T T"
Sb -0.9628 0.9587 2.1213
Te 1.6219 -1.4215 1.3785
Te -1.7216 -1.8926 0.0739
Co -1.0625 -2.3554 3.5737
Tc 0.0000 0.0000 0.0000
```

Computed properties:
Raw formation energy ... 1.13 eV/atom
DFT total energy ... -4.990 eV/atom

=====

# 6
Compound: Co2SbTe
Source: the Alexandria database
Functional: PBEsol
Structure: relaxed

extended XYZ file:
```
4
Lattice="-2.9995 -0.9582 -3.0550 0.9280 -3.1646 -3.0689 -2.1034 -3.9803 0.1633" Properties=species:S:1:pos:R:3 pbc="T T T"
Sb -0.5877 -3.5725 -1.4528
Te -1.4998 -0.4791 -1.5275
Co -1.6762 -5.4463 -2.9466
Co -2.4987 -2.6569 -3.0140
```

Computed properties:
Raw formation energy ... 0.34 eV/atom
DFT total energy ... -5.552 eV/atom
ΔE to the lowest computed polymorph ... 11.844 kcal/mol of atoms

=====

# 7
Compound: CoSb2Te
Source: the Alexandria database
Functional: PBEsol
Structure: relaxed

extended XYZ file:
```
4
Lattice="3.5402 0.0000 0.0000 0.0000 5.0597 0.0856 0.0000 -1.2272 4.9094" Properties=species:S:1:pos:R:3 pbc="T T T"
Co 1.7701 1.9163 2.4975
Sb 0.0000 2.5298 0.0428
Sb 0.0000 -0.6136 2.4547
Te 1.7701 0.0000 0.0000
```

Computed properties:
Raw formation energy ... 0.59 eV/atom
DFT total energy ... -4.503 eV/atom

=====

# 8
Compound: Co2SbTe
Source: the Alexandria database
Functional: PBEsol
Structure: relaxed

extended XYZ file:
```
4
Lattice="4.6319 0.0000 0.0000 2.3159 4.0113 0.0000 2.3159 1.3371 3.7819" Properties=species:S:1:pos:R:3 pbc="T T T"
Sb 4.6319 2.6742 1.8910
Te 2.3159 1.3371 0.9455
Co 0.0000 0.0000 0.0000
Co 6.9478 4.0113 2.8364
```

Computed properties:
Raw formation energy ... 0.89 eV/atom
DFT total energy ... -4.998 eV/atom
ΔE to the lowest computed polymorph ... 24.619 kcal/mol of atoms

=====

# 9
Compound: Co2SbTe
Source: the Alexandria database
Functional: PBEsol
Structure: relaxed

extended XYZ file:
```
4
Lattice="-2.2208 0.7012 -3.0477 -0.8984 -2.8418 2.4144 -2.8095 3.2660 2.7987" Properties=species:S:1:pos:R:3 pbc="T T T"
Sb -2.7439 -0.0278 1.9931
Te -1.7800 -0.4798 -1.2270
Co -0.6985 0.8120 0.6958
Co -2.1110 2.4540 2.1028
```

Computed properties:
Raw formation energy ... -0.18 eV/atom
DFT total energy ... -6.066 eV/atom
ΔE to the lowest computed polymorph ... 0.000 kcal/mol of atoms

=====

# 10
Compound: YCoSb2Te
Source: the Alexandria database
Functional: PBEsol
Structure: relaxed

extended XYZ file:
```
5
Lattice="5.6214 0.0000 0.0000 0.0000 5.6597 0.0000 0.0000 0.0000 5.6597" Properties=species:S:1:pos:R:3 pbc="T T T"
Y 0.0000 0.0000 0.0000
Sb 0.0000 0.0000 2.8299
Sb 0.0000 2.8299 0.0000
Te 2.8107 0.0000 0.0000
Co 2.8107 2.8299 2.8299
```

Computed properties:
Raw formation energy ... 1.02 eV/atom
DFT total energy ... -4.421 eV/atom

=====

# 11
Compound: Th3Co3Sb4
Source: the Alexandria database
Functional: PBEsol
Structure: relaxed

extended XYZ file:
```
20
Lattice="-6.8596 3.4581 2.8742 -1.9293 -5.5772 -5.6963 4.0071 -3.6517 6.1549" Properties=species:S:1:pos:R:3 pbc="T T T"
Th -1.2634 -2.4282 5.7579
Th -1.9375 -1.6834 -0.6482
Th -3.8832 0.5271 3.7517
Th -0.7728 -4.9277 2.1338
Th -1.5438 -5.3607 -3.0862
Th -4.9447 -3.4393 2.0896
Co -3.2380 -0.4100 6.4191
Co -3.5184 -3.3425 -2.4250
Co 0.1629 -2.3314 1.2433
Co -2.8443 -4.0873 3.9810
Co -0.8986 -6.2978 -0.4189
Co -4.0090 -0.8430 1.1990
Sb 0.3945 -4.0272 -0.7605
Sb 1.2346 -2.7539 3.6134
Sb -2.0806 -1.9885 2.5825
Sb -2.3267 1.1729 0.9749
Sb -5.7565 2.9020 2.4120
Sb -5.1635 -1.9875 -0.8750
Sb -3.0453 -4.7771 -0.2657
Sb 2.3981 -5.8530 2.3170
```

Computed properties:
Raw formation energy ... -0.76 eV/atom
DFT total energy ... -7.337 eV/atom

=====

# 12
Compound: TiCoSb3
Source: the Alexandria database
Functional: PBEsol
Structure: relaxed

extended XYZ file:
```
5
Lattice="5.1211 0.0000 0.0000 0.0000 5.1211 0.0000 0.0000 0.0000 5.1211" Properties=species:S:1:pos:R:3 pbc="T T T"
Sb 0.0000 2.5605 0.0000
Sb 0.0000 0.0000 2.5605
Sb 2.5605 0.0000 0.0000
Co 2.5605 2.5605 2.5605
Ti 0.0000 0.0000 0.0000
```

Computed properties:
Raw formation energy ... 0.84 eV/atom
DFT total energy ... -5.102 eV/atom

=====

> The lowest DFT total energy belongs to which entry?

number 2

=====

> The highest DFT total energy belongs to which entry?

YCoSb2Te